Record 1
PBE SrBiAuSe3, optimized geometry; magnetization = 0.00 μB per formula unit; SG = No. 11; uncorrected formation energy = -0.793 eV per atom
1.0
8.6016 0.0000 0.0000
0.0000 4.2350 0.0000
-1.9555 0.0000 9.1606
Sr Bi Au Se
2 2 2 6
direct
0.1786 0.2500 0.2454
0.8214 0.7500 0.7546
0.3300 0.7500 0.8385
0.6700 0.2500 0.1615
0.0975 0.2500 0.5767
0.9025 0.7500 0.4233
0.0977 0.2500 0.8760
0.2629 0.7500 0.5093
0.4243 0.7500 0.1557
0.5757 0.2500 0.8443
0.7371 0.2500 0.4907
0.9023 0.7500 0.1240



Record 2
PBE CdHgSbTe2, optimized geometry; magnetization = 0.00 μB per formula unit; SG = No. 123; relative energy among the computed polymorphs = 0.000 eV per atom; uncorrected formation energy = 0.564 eV per atom
1.0
5.6866 0.0000 0.0000
0.0000 5.6866 0.0000
0.0000 0.0000 5.5882
Cd Hg Sb Te
1 1 1 2
direct
0.0000 0.0000 0.0000
0.5000 0.5000 0.5000
0.0000 0.0000 0.5000
0.0000 0.5000 0.0000
0.5000 0.0000 0.0000



Record 3
PBE CaAuSN2, optimized geometry; magnetization = 2.69 μB per formula unit; SG = No. 123; relative energy among the computed polymorphs = 0.000 eV per atom; uncorrected formation energy = 0.756 eV per atom
1.0
4.1142 0.0000 0.0000
0.0000 4.1142 0.0000
0.0000 0.0000 5.2460
Ca Au S N
1 1 1 2
direct
0.0000 0.0000 0.0000
0.5000 0.5000 0.5000
0.5000 0.5000 0.0000
0.0000 0.5000 0.5000
0.5000 0.0000 0.5000



Record 4
PBE LiI2BrF, optimized geometry; magnetization = 0.00 μB per formula unit; SG = No. 123; uncorrected formation energy = -0.393 eV per atom
1.0
5.9215 0.0000 0.0000
0.0000 5.9215 0.0000
0.0000 0.0000 4.5544
Li I Br F
1 2 1 1
direct
0.0000 0.0000 0.0000
0.0000 0.5000 0.5000
0.5000 0.0000 0.5000
0.5000 0.5000 0.5000
0.5000 0.5000 0.0000



Record 5
PBE Tb3DySb2, optimized geometry; magnetization = 0.24 μB per formula unit; SG = No. 72; relative energy among the computed polymorphs = 0.236 eV per atom; uncorrected formation energy = -0.571 eV per atom
1.0
-3.5008 7.2228 3.8127
3.5008 -7.2228 3.8127
3.5008 7.2228 -3.8127
Tb Dy Sb
6 2 4
direct
0.0435 0.7500 0.2935
0.2500 0.2500 0.0000
0.4565 0.7500 0.7065
0.5435 0.2500 0.2935
0.7500 0.7500 0.0000
0.9565 0.2500 0.7065
0.0000 0.5000 0.5000
0.5000 0.0000 0.5000
0.1470 0.1727 0.3197
0.3530 0.6727 0.0257
0.6470 0.3273 0.9743
0.8530 0.8273 0.6803



Record 6
PBE NaCa2LaTl4, optimized geometry; magnetization = 0.00 μB per formula unit; SG = No. 166; DFT formation energy = -355.5 meV per atom
1.0
2.7605 1.5938 9.1340
-2.7605 1.5938 9.1340
0.0000 -3.1875 9.1340
Na Ca La Tl
1 2 1 4
direct
0.0000 0.0000 0.0000
0.2533 0.2533 0.2533
0.7467 0.7467 0.7467
0.5000 0.5000 0.5000
0.1227 0.1227 0.1227
0.3750 0.3750 0.3750
0.6250 0.6250 0.6250
0.8773 0.8773 0.8773



Record 7
PBE BaMn2CrB, optimized geometry; magnetization = 0.00 μB per formula unit; SG = No. 123; DFT formation energy = 1928.3 meV per atom
1.0
4.1758 0.0000 0.0000
0.0000 4.1758 0.0000
0.0000 0.0000 5.9056
Ba Mn Cr B
1 2 1 1
direct
0.0000 0.0000 0.0000
0.0000 0.5000 0.5000
0.5000 0.0000 0.5000
0.0000 0.0000 0.5000
0.5000 0.5000 0.0000



Record 8
PBE ReBiH3, optimized geometry; magnetization = 0.31 μB per formula unit; SG = No. 221; relative energy among the computed polymorphs = 0.000 eV per atom
1.0
3.7422 0.0000 0.0000
0.0000 3.7422 0.0000
0.0000 0.0000 3.7422
Re Bi H
1 1 3
direct
0.0000 0.0000 0.0000
0.5000 0.5000 0.5000
0.0000 0.0000 0.5000
0.0000 0.5000 0.0000
0.5000 0.0000 0.0000



Record 9
PBE GaTeN2F, optimized geometry; magnetization = 2.71 μB per formula unit; SG = No. 123; relative energy among the computed polymorphs = 0.639 eV per atom; uncorrected formation energy = 0.971 eV per atom
1.0
3.7741 0.0000 0.0000
0.0000 3.7741 0.0000
0.0000 0.0000 6.1954
Ga Te N F
1 1 2 1
direct
0.0000 0.0000 0.0000
0.0000 0.0000 0.5000
0.0000 0.5000 0.0000
0.5000 0.0000 0.0000
0.5000 0.5000 0.5000



Record 10
PBE Pu3TeSe2, optimized geometry; magnetization = 18.00 μB per formula unit; SG = No. 63; relative energy among the computed polymorphs = 0.267 eV per atom; uncorrected formation energy = -1.090 eV per atom
1.0
2.3887 -6.8384 0.0000
2.3887 6.8384 0.0000
0.0000 0.0000 9.9457
Pu Te Se
6 2 4
direct
0.1118 0.8882 0.7500
0.3660 0.6340 0.5383
0.3660 0.6340 0.9617
0.6340 0.3660 0.0383
0.6340 0.3660 0.4617
0.8882 0.1118 0.2500
0.2255 0.7745 0.2500
0.7745 0.2255 0.7500
0.0000 0.0000 0.0000
0.0000 0.0000 0.5000
0.4923 0.5077 0.2500
0.5077 0.4923 0.7500



Record 11
PBE BeZnMo2, optimized geometry; magnetization = 0.00 μB per formula unit; SG = No. 6; relative energy among the computed polymorphs = 0.000 eV per atom; DFT formation energy = 82.8 meV per atom
1.0
2.7340 0.0000 0.0000
0.0000 4.1622 0.0000
-0.7176 0.0000 4.8924
Be Zn Mo
1 1 2
direct
0.0000 0.0000 0.0000
0.9702 0.5000 0.7461
0.3844 0.0000 0.4967
0.5856 0.5000 0.2219



Record 12
PBE Si2PdPt2, optimized geometry; magnetization = 0.00 μB per formula unit; SG = No. 127; relative energy among the computed polymorphs = 0.000 eV per atom; uncorrected formation energy = -0.511 eV per atom
1.0
6.9020 0.0000 0.0000
0.0000 6.9020 0.0000
0.0000 0.0000 3.0844
Si Pd Pt
4 2 4
direct
0.1520 0.3480 0.0000
0.3480 0.8480 0.0000
0.6520 0.1520 0.0000
0.8480 0.6520 0.0000
0.0000 0.0000 0.0000
0.5000 0.5000 0.0000
0.1432 0.6432 0.5000
0.3568 0.1432 0.5000
0.6432 0.8568 0.5000
0.8568 0.3568 0.5000



Record 13
PBE BeZnSe2, optimized geometry; magnetization = 0.00 μB per formula unit; SG = No. 35; relative energy among the computed polymorphs = 0.964 eV per atom; uncorrected formation energy = 0.218 eV per atom
1.0
1.7073 -2.3841 0.0000
1.7073 2.3841 0.0000
0.0000 0.0000 9.3304
Be Zn Se
1 1 2
direct
0.0000 0.0000 0.0000
0.5000 0.5000 0.7981
0.0000 0.0000 0.5573
0.5000 0.5000 0.1551



Record 14
PBE LaPmSmHo2, optimized geometry; magnetization = 0.00 μB per formula unit; SG = No. 63; DFT formation energy = 342.3 meV per atom
1.0
4.2515 -5.8172 0.0000
4.2515 5.8172 0.0000
0.0000 0.0000 7.2345
La Pm Sm Ho
2 2 2 4
direct
0.2338 0.7662 0.7500
0.7662 0.2338 0.2500
0.2225 0.7775 0.2500
0.7775 0.2225 0.7500
0.4996 0.5004 0.2500
0.5004 0.4996 0.7500
0.1881 0.1881 0.0000
0.1881 0.1881 0.5000
0.8119 0.8119 0.0000
0.8119 0.8119 0.5000



Record 15
PBE Hf2TiO, optimized geometry; magnetization = 1.22 μB per formula unit; SG = No. 166; uncorrected formation energy = -0.828 eV per atom
1.0
1.4972 0.8644 8.6582
-1.4972 0.8644 8.6582
0.0000 -1.7288 8.6582
Hf Ti O
2 1 1
direct
0.1073 0.1073 0.1073
0.8927 0.8927 0.8927
0.0000 0.0000 0.0000
0.5000 0.5000 0.5000



Record 16
PBE Ba4AgHg, optimized geometry; magnetization = 0.00 μB per formula unit; SG = No. 216; relative energy among the computed polymorphs = 0.671 eV per atom; DFT formation energy = 404.9 meV per atom
1.0
0.0000 5.1888 5.1888
5.1888 0.0000 5.1888
5.1888 5.1888 0.0000
Ba Ag Hg
4 1 1
direct
0.1250 0.1250 0.1250
0.1250 0.1250 0.6251
0.1250 0.6251 0.1250
0.6251 0.1250 0.1250
0.5000 0.5000 0.5000
0.7500 0.7500 0.7500



Record 17
PBE LaZr2Tl, optimized geometry; magnetization = 0.00 μB per formula unit; SG = No. 122; relative energy among the computed polymorphs = 0.312 eV per atom; DFT formation energy = 281.7 meV per atom
1.0
-2.2644 2.2644 10.7756
2.2644 -2.2644 10.7756
2.2644 2.2644 -10.7756
La Zr Tl
2 4 2
direct
0.0000 0.0000 0.0000
0.7500 0.2500 0.5000
0.1332 0.6250 0.0082
0.3750 0.3832 0.5082
0.6168 0.1250 0.9918
0.8750 0.8668 0.4918
0.2500 0.7500 0.5000
0.5000 0.5000 0.0000



Record 18
PBE Nd2Ag2Au, optimized geometry; magnetization = 0.00 μB per formula unit; SG = No. 12; relative energy among the computed polymorphs = 0.000 eV per atom; DFT formation energy = -432.1 meV per atom
1.0
5.4148 -2.0778 0.0000
5.4148 2.0778 0.0000
-4.1133 0.0000 11.2451
Nd Ag Au
4 4 2
direct
0.0023 0.0023 0.3355
0.1837 0.1837 0.1114
0.8163 0.8163 0.8886
0.9977 0.9977 0.6645
0.3514 0.3514 0.4582
0.4620 0.4620 0.1063
0.5380 0.5380 0.8937
0.6486 0.6486 0.5418
0.2958 0.2958 0.6907
0.7042 0.7042 0.3093



Record 19
PBE Ba2LaSmSe4, optimized geometry; magnetization = 0.00 μB per formula unit; SG = No. 10; uncorrected formation energy = -1.946 eV per atom
1.0
7.6290 0.0000 0.0000
0.0000 4.4125 0.0000
-2.5487 0.0000 7.4415
Ba La Sm Se
2 1 1 4
direct
0.0000 0.0000 0.0000
0.5000 0.5000 0.0000
0.0000 0.5000 0.5000
0.5000 0.0000 0.5000
0.2464 0.0000 0.7234
0.2645 0.5000 0.2793
0.7355 0.5000 0.7207
0.7536 0.0000 0.2766



Record 20
PBE LiGe2Pd2, optimized geometry; magnetization = 0.00 μB per formula unit; SG = No. 12; relative energy among the computed polymorphs = 0.016 eV per atom; DFT formation energy = -450.6 meV per atom
1.0
2.8910 -3.6207 0.0000
2.8910 3.6207 0.0000
-2.4361 0.0000 4.2744
Li Ge Pd
1 2 2
direct
0.0000 0.0000 0.0000
0.3958 0.3958 0.7004
0.6042 0.6042 0.2996
0.2039 0.7961 0.5000
0.7961 0.2039 0.5000